{"formula": "P2PbWO", "functional": "PBE with a Hubbard U", "state": "optimized geometry", "lattice_angstrom": [[5.111, 0.000, 0.000], [0.000, 5.111, 0.000], [0.000, 0.000, 3.903]], "species": ["P", "P", "Pb", "W", "O"], "frac_coords": [[0.000, 0.500, 0.000], [0.500, 0.000, 0.000], [0.000, 0.000, 0.500], [0.500, 0.500, 0.000], [0.500, 0.500, 0.500]], "e_above_lowest_polymorph_ev_per_fu": 0.00, "magmom_total_mub_per_cell": 0.00, "dos_at_fermi_per_ev_fu": 2.0, "spacegroup": "P4/mmm (123)"}